one:
Tl3GaBr4: relaxed, PBE.

Calculated density (g/cm³): 5.67
Total magnetic moment (Bohr magnetons per cell): 0.000
Symmetry: No. 13

Cell and atoms, written as POSCAR:
```
Tl3GaBr4
1.0
8.127 0.067 0.000
-2.787 7.657 0.000
0.000 0.000 9.414
Tl Br Ga
6 8 2
Cartesian
6.095 0.050 3.507 Tl
2.032 0.017 5.907 Tl
4.702 3.879 5.903 Tl
4.702 3.879 1.162 Tl
0.638 3.845 3.511 Tl
0.638 3.845 8.252 Tl
7.370 1.933 5.964 Br
3.427 1.844 8.305 Br
3.307 1.900 3.450 Br
-0.636 1.810 1.109 Br
5.976 5.914 8.305 Br
2.033 5.824 5.964 Br
1.913 5.880 1.109 Br
-2.030 5.791 3.450 Br
6.095 0.050 8.260 Ga
2.032 0.017 1.154 Ga
```

two:
Tl3GaBr4: relaxed, PBE.

Calculated density (g/cm³): 4.61
Total magnetic moment (Bohr magnetons per cell): 0.000
Symmetry: No. 31

Cell and atoms, written as POSCAR:
```
Tl3GaBr4
1.0
-1.878 1.291 6.260
8.752 -2.425 3.126
3.389 10.699 -1.189
Tl Ga Br
6 2 8
Cartesian
6.266 -1.303 6.129 Tl
6.576 1.097 2.176 Tl
2.704 2.629 4.243 Tl
3.011 5.032 0.301 Tl
4.377 7.911 3.656 Tl
8.292 6.514 1.573 Tl
1.417 -0.356 0.833 Ga
7.913 4.048 5.418 Ga
7.364 -1.993 3.059 Br
0.380 0.359 4.311 Br
3.553 1.871 1.111 Br
5.725 1.856 5.310 Br
8.742 3.476 2.632 Br
1.910 5.722 3.377 Br
7.361 7.020 4.736 Br
5.306 7.405 0.495 Br
```

Most stable = one

one:
TlGaBr3: relaxed, PBE.

Calculated density (g/cm³): 5.39
Total magnetic moment (Bohr magnetons per cell): 0.000
Symmetry: No. 221

Cell and atoms, written as POSCAR:
```
TlGaBr3
1.0
-5.174 -1.263 0.952
1.577 -4.375 2.764
0.124 2.920 4.553
Tl Ga Br
1 1 3
Cartesian
-1.736 -1.359 4.134 Tl
0.000 0.000 0.000 Ga
0.788 -2.188 1.382 Br
0.062 1.460 2.276 Br
-2.587 -0.632 0.476 Br
```

two:
TlGaBr3: relaxed, PBE.

Calculated density (g/cm³): 4.44
Total magnetic moment (Bohr magnetons per cell): 0.000
Symmetry: No. 221

Cell and atoms, written as POSCAR:
```
TlGaBr3
1.0
5.769 0.000 0.000
0.000 5.769 0.000
0.000 0.000 5.769
Tl Ga Br
1 1 3
Cartesian
0.000 0.000 0.000 Tl
2.885 2.885 2.885 Ga
0.000 2.885 0.000 Br
0.000 0.000 2.885 Br
2.885 0.000 0.000 Br
```

three:
TlGaBr3: relaxed, PBE.

Calculated density (g/cm³): 4.62
Total magnetic moment (Bohr magnetons per cell): 0.000
Symmetry: No. 14

Cell and atoms, written as POSCAR:
```
TlGaBr3
1.0
7.769 0.000 -0.429
0.000 8.815 0.000
-0.162 0.000 10.795
Tl Ga Br
4 4 12
Cartesian
7.483 5.540 2.179 Tl
4.089 1.132 2.575 Tl
0.124 3.276 8.187 Tl
3.518 7.684 7.791 Tl
3.360 5.253 0.478 Ga
0.443 0.846 4.705 Ga
4.247 3.562 9.888 Ga
7.164 7.970 5.660 Ga
0.852 6.020 6.206 Br
2.790 1.613 9.772 Br
6.755 2.795 4.160 Br
4.817 7.203 0.594 Br
6.701 8.720 7.909 Br
4.709 4.312 7.639 Br
0.906 0.096 2.456 Br
2.898 4.504 2.726 Br
5.073 7.159 4.751 Br
6.500 2.752 0.002 Br
2.534 1.656 5.614 Br
1.108 6.064 10.363 Br
```

Most stable = three

one:
TlGa2Br3: relaxed, PBE.

Calculated density (g/cm³): 4.74
Total magnetic moment (Bohr magnetons per cell): 0.000
Symmetry: No. 5

Cell and atoms, written as POSCAR:
```
TlGa2Br3
1.0
-3.855 2.170 1.242
-0.337 -2.712 3.692
7.332 6.617 2.660
Tl Ga Br
1 2 3
Cartesian
4.587 5.542 4.475 Tl
1.134 1.357 1.090 Ga
0.711 3.112 5.196 Ga
2.491 5.269 6.941 Br
2.753 3.325 2.675 Br
-0.913 1.150 3.605 Br
```

two:
TlGa2Br3: relaxed, PBE.

Calculated density (g/cm³): 4.92
Total magnetic moment (Bohr magnetons per cell): 0.000
Symmetry: No. 11

Cell and atoms, written as POSCAR:
```
TlGa2Br3
1.0
4.517 0.000 0.000
0.000 6.689 0.506
0.000 -1.727 12.910
Tl Ga Br
2 4 6
Cartesian
1.129 4.917 10.673 Tl
3.388 0.046 2.743 Tl
1.129 2.510 5.750 Ga
3.388 2.452 7.666 Ga
3.388 0.737 11.567 Ga
1.129 4.225 1.849 Ga
3.388 4.946 8.441 Br
1.129 0.017 4.975 Br
3.388 3.224 3.889 Br
1.129 1.738 9.527 Br
1.129 1.746 0.675 Br
3.388 3.216 12.742 Br
```

Most stable = one

one:
Tm2GaBr: relaxed, PBE.

Calculated density (g/cm³): 8.18
Total magnetic moment (Bohr magnetons per cell): 0.000
Symmetry: No. 166

Cell and atoms, written as POSCAR:
```
Tm2GaBr
1.0
3.666 0.000 0.000
1.833 3.175 0.000
1.833 1.058 8.504
Tm Ga Br
2 1 1
Cartesian
5.500 3.175 6.539 Tm
1.833 1.058 1.965 Tm
0.000 0.000 0.000 Ga
3.666 2.117 4.252 Br
```

two:
Tm2GaBr: relaxed, PBE.

Calculated density (g/cm³): 7.52
Total magnetic moment (Bohr magnetons per cell): 0.000
Symmetry: No. 160

Cell and atoms, written as POSCAR:
```
Tm2GaBr
1.0
-2.201 -2.748 2.134
-0.083 -3.941 -1.188
5.075 -3.626 4.538
Tm Ga Br
2 1 1
Cartesian
3.887 -3.341 3.679 Tm
0.394 -2.506 1.151 Tm
3.522 -8.077 5.146 Ga
1.459 -5.172 2.788 Br
```

Most stable = one

one:
UGaBr6: relaxed, PBE.

Calculated density (g/cm³): 4.31
Total magnetic moment (Bohr magnetons per cell): 1.000
Symmetry: No. 2

Cell and atoms, written as POSCAR:
```
UGaBr6
1.0
7.278 0.014 0.013
3.634 6.303 0.015
3.633 2.097 6.625
U Ga Br
1 1 6
Cartesian
0.000 0.000 0.000 U
7.272 4.207 3.327 Ga
4.694 4.039 5.070 Br
8.702 2.064 5.077 Br
6.129 1.899 1.576 Br
5.843 6.350 1.577 Br
9.850 4.375 1.583 Br
8.416 6.515 5.077 Br
```

two:
UGaBr6: relaxed, PBE.

Calculated density (g/cm³): 3.97
Total magnetic moment (Bohr magnetons per cell): 1.000
Symmetry: No. 12

Cell and atoms, written as POSCAR:
```
UGaBr6
1.0
-6.181 3.219 -2.529
5.392 -2.024 -4.668
-2.747 -6.595 1.299
U Ga Br
1 1 6
Cartesian
-1.768 -2.700 -2.949 U
0.000 0.000 0.000 Ga
-0.884 -4.712 -4.534 Br
-4.254 -3.186 -3.912 Br
0.718 -2.215 -1.986 Br
-2.652 -0.688 -1.364 Br
-2.195 -4.457 -0.954 Br
-1.341 -0.943 -4.944 Br
```

Most stable = two

one:
VGaBr: relaxed, PBE.

Calculated density (g/cm³): 4.68
Total magnetic moment (Bohr magnetons per cell): 2.081
Symmetry: No. 6

Cell and atoms, written as POSCAR:
```
VGaBr
1.0
-2.837 0.555 1.456
0.779 -2.877 2.615
4.886 7.326 6.735
Ga Br V
2 2 2
Cartesian
-1.043 -0.490 3.555 Ga
2.393 6.664 7.529 Ga
-0.694 2.069 3.260 Br
2.615 2.544 5.931 Br
4.325 5.137 8.279 V
2.037 4.091 7.811 V
```

two:
VGaBr: relaxed, PBE.

Calculated density (g/cm³): 5.18
Total magnetic moment (Bohr magnetons per cell): 2.408
Symmetry: No. 2

Cell and atoms, written as POSCAR:
```
VGaBr
1.0
3.353 0.000 0.002
0.000 3.899 -0.002
-0.025 -1.932 9.840
Ga Br V
2 2 2
Cartesian
2.503 0.985 3.975 Ga
0.825 0.982 5.865 Ga
0.824 -0.964 8.230 Br
2.504 2.931 1.610 Br
2.502 -0.967 6.290 V
0.826 2.934 3.550 V
```

Most stable = two

one:
VGaBr: relaxed, PBE.

Calculated density (g/cm³): 5.37
Total magnetic moment (Bohr magnetons per cell): 0.006
Symmetry: No. 38

Cell and atoms, written as POSCAR:
```
VGaBr
1.0
-0.127 -0.890 -3.337
-2.553 -1.471 0.490
-12.446 19.987 -4.857
Ga Br V
4 4 4
Cartesian
-0.668 0.525 -1.904 Ga
-8.168 9.783 -4.088 Ga
-11.608 18.094 -6.174 Ga
-6.662 7.365 -3.501 Ga
-1.934 2.558 -2.399 Br
-9.434 11.816 -4.582 Br
-9.879 15.865 -3.856 Br
-4.933 5.136 -1.182 Br
-6.045 9.708 -2.359 V
-13.545 18.966 -4.543 V
-4.661 7.485 -1.819 V
-12.161 16.743 -4.003 V
```

two:
VGaBr: relaxed, PBE.

Calculated density (g/cm³): 5.07
Total magnetic moment (Bohr magnetons per cell): 1.126
Symmetry: No. 44

Cell and atoms, written as POSCAR:
```
VGaBr
1.0
-0.524 -2.281 -2.372
-0.371 -2.868 2.840
-19.142 3.413 0.949
Ga Br V
4 4 4
Cartesian
-0.647 -1.352 1.443 Ga
-10.295 0.649 -0.688 Ga
-7.986 1.424 0.396 Ga
-18.005 0.556 1.105 Ga
-12.342 0.734 2.023 Br
-2.848 -0.679 -1.058 Br
-5.855 -0.423 1.701 Br
-15.503 1.577 -0.430 Br
-9.962 0.309 1.905 V
-0.467 -1.104 -1.176 V
-17.172 3.062 0.852 V
-8.048 -1.219 0.611 V
```

Most stable = two

one:
VGaBr: relaxed, PBE.

Calculated density (g/cm³): 5.68
Total magnetic moment (Bohr magnetons per cell): 1.999
Symmetry: No. 38

Cell and atoms, written as POSCAR:
```
VGaBr
1.0
3.208 0.000 0.000
-1.604 2.779 0.000
0.000 0.000 13.163
V Ga Br
2 2 2
Cartesian
0.000 2.473 0.000 V
0.000 2.468 6.581 V
1.604 1.540 8.431 Ga
1.604 1.540 4.731 Ga
0.000 0.621 11.414 Br
0.000 0.621 1.749 Br
```

two:
VGaBr: relaxed, PBE.

Calculated density (g/cm³): 4.69
Total magnetic moment (Bohr magnetons per cell): 0.105
Symmetry: No. 1

Cell and atoms, written as POSCAR:
```
VGaBr
1.0
-1.698 2.840 0.130
-0.786 -2.209 -4.146
-6.309 -5.793 4.706
Ga Br V
2 2 2
Cartesian
-8.082 -4.522 0.708 Ga
-1.988 0.957 0.037 Ga
-5.140 -4.772 2.379 Br
-4.114 -2.210 -0.723 Br
-1.147 -0.371 -2.124 V
-2.017 -2.830 -1.973 V
```

Most stable = two